1.
This record from the Alexandria database describes a PBEsol-optimized structure of RbYNb3. The functional is SCAN.

a = 4.852 Å, b = 4.852 Å, c = 4.852 Å
α = 90.00°, β = 90.00°, γ = 90.00°
Positions (direct):
Nb  0.000  0.000  0.500
Nb  0.000  0.500  0.000
Nb  0.500  0.000  0.000
Rb  0.000  0.000  0.000
Y  0.500  0.500  0.500

Volume, A^3/atom: 22.85
Formation energy, eV per atom: 2.333



2.
This record from the Alexandria database describes a PBEsol-optimized structure of Rb2ZrNb. The functional is SCAN.

a = 5.705 Å, b = 5.705 Å, c = 5.705 Å
α = 60.00°, β = 60.00°, γ = 60.00°
Positions (direct):
Rb  0.750  0.750  0.750
Rb  0.250  0.250  0.250
Nb  0.500  0.500  0.500
Zr  0.000  0.000  0.000

Volume, A^3/atom: 32.83
Formation energy, eV per atom: 1.971



3.
This record from the Alexandria database describes a PBEsol-optimized structure of NbReRu3. The functional is SCAN.

a = 4.561 Å, b = 4.561 Å, c = 4.561 Å
α = 90.00°, β = 90.00°, γ = 90.00°
Positions (direct):
Ru  0.500  0.000  0.000
Ru  0.000  0.500  0.000
Ru  0.000  0.000  0.500
Re  0.000  0.000  0.000
Nb  0.500  0.500  0.500

Volume, A^3/atom: 18.97
Formation energy, eV per atom: 1.583